ZrMoF2: relaxed, GGA+U.

Properties
- calculated total energy (eV for the cell shown) = -67.3
- total magnetic moment (μB per cell) = 5.50

```
data_ZrMoF2
_chemical_formula_sum 'Zr3 Mo3 F6'
_symmetry_space_group_name_H-M 'R -3 m'
_symmetry_Int_Tables_number 166
_symmetry_space_group_name_Hall '-R 3 2"'
_cell_length_a 2.9463
_cell_length_b 2.9463
_cell_length_c 23.3445
_cell_angle_alpha 90.00
_cell_angle_beta 90.00
_cell_angle_gamma 120.00
loop_
_atom_site_label
_atom_site_fract_x
_atom_site_fract_y
_atom_site_fract_z
Zr1 0.0000 0.0000 0.0000
Mo1 0.0000 0.0000 0.5000
F1 0.0000 0.0000 0.0980
```